No. 1
Density functional theory data (PBE-GGA) for crystalline TlSiH3 at its relaxed geometry.

Lattice parameters (Å, degrees): 4.0311 4.0311 4.0311 90.00 90.00 90.00
Closest atoms and distances in Å follow each position.
Space group Pm-3m (No. 221)
Unique sites:
Tl  0.0000  0.0000  0.0000 x1  6 H 2.02
Si  0.5000  0.5000  0.5000 x1  12 H 2.85
H  0.0000  0.0000  0.5000 x3  2 Tl 2.02

Calculated values
Magnetic moment   0.00 Bohr magnetons per cell
Volume   13.1 Å³/atom
Energy above the lowest structure with this stoichiometry   0.891 eV/atom
Density   5.97 Mg/m³
Uncorrected energy   -2.496 eV/atom

---

No. 2
Density functional theory data (PBE-GGA) for crystalline AgHgRh2Se at its relaxed geometry.

Lattice parameters (Å, degrees): 4.9544 4.9544 5.0052 90.00 90.00 90.00
Closest atoms and distances in Å follow each position.
Space group P4/mmm (No. 123)
Unique sites:
Ag  0.0000  0.0000  0.0000 x1  4 Rh 2.48, 2 Hg 2.50
Hg  0.0000  0.0000  0.5000 x1  2 Ag 2.50
Rh  0.0000  0.5000  0.0000 x2  2 Ag 2.48
Se  0.5000  0.5000  0.5000 x1  4 Hg 3.50, 8 Rh 3.52

Calculated values
Magnetic moment   1.92 Bohr magnetons per cell
Volume   24.6 Å³/atom
Formation energy without anion corrections   1.3551 eV per atom
Density   8.02 Mg/m³
Uncorrected energy   -2.913 eV/atom

---

> Which value of volume does entry 1 give?

13.1 Å³/atom

---

> volume of number 2 (AgHgRh2Se)?

24.6 Å³/atom

---

> Which formula does entry 2 have?

AgHgRh2Se